1:
Entry from the Alexandria database: a geometry-optimized MnVZn2 structure (GGA-PBE).

```
MnVZn2
1.0
3.1906 0.0000 0.0000
0.0000 3.1906 0.0000
0.0000 0.0000 5.5218
V Zn Mn
1 2 1
direct
0.5000 0.5000 0.0000
0.0000 0.0000 0.2532
0.0000 0.0000 0.7468
0.5000 0.5000 0.5000
```

Output
The calculation puts the density at 6.99 g/cm³. Its symmetry is P4/mmm (123). Its crystal system is tetragonal.



2:
Entry from the Alexandria database: a geometry-optimized MnVZn2 structure (GGA-PBE).

```
MnVZn2
1.0
3.5303 -0.3256 2.4184
0.2071 -2.9520 3.1081
2.5918 -3.3930 -0.4325
Zn Mn V
2 1 1
direct
0.2500 0.2500 0.2500
0.7500 0.7500 0.7500
0.5000 0.5000 0.5000
0.0000 0.0000 0.0000
```

Output
The calculation puts the density at 7.03 g/cm³. Its symmetry is Fm-3m (225). Its crystal system is cubic.



2 ends up most stable, edging out the next structure by 0.043 eV/atom.



1:
Entry from the Alexandria database: a geometry-optimized Mn2V2Zn structure (GGA-PBE).

```
Mn2V2Zn
1.0
6.7914 0.0000 0.0000
0.0000 6.7914 0.0000
0.0000 0.0000 2.8445
Zn V Mn
2 4 4
direct
0.0000 0.0000 0.0000
0.5000 0.5000 0.0000
0.1602 0.6602 0.5000
0.3398 0.1602 0.5000
0.8398 0.3398 0.5000
0.6602 0.8398 0.5000
0.6408 0.1408 0.0000
0.1408 0.3592 0.0000
0.8592 0.6408 0.0000
0.3592 0.8592 0.0000
```

Output
The calculation puts the density at 7.02 g/cm³. Its symmetry is P4/mbm (127). Its crystal system is tetragonal.



2:
Entry from the Alexandria database: a geometry-optimized Mn2V2Zn structure (GGA-PBE).

```
Mn2V2Zn
1.0
6.9193 0.0000 0.0000
0.0000 6.9193 0.0000
0.0000 0.0000 2.7714
Mn V Zn
4 4 2
direct
0.6557 0.8443 0.5000
0.3443 0.1557 0.5000
0.1557 0.6557 0.5000
0.8443 0.3443 0.5000
0.6440 0.1440 0.0000
0.1440 0.3560 0.0000
0.3560 0.8560 0.0000
0.8560 0.6440 0.0000
0.5000 0.5000 0.0000
0.0000 0.0000 0.0000
```

Output
The calculation puts the density at 6.94 g/cm³. Its symmetry is P4/mbm (127). Its crystal system is tetragonal.



1 ends up most stable, edging out the next structure by 0.098 eV/atom.